No. 1
LaCr2SCl after structural relaxation, computed with PBEsol.

Output
- Calculated volume: 106 Å³/f.u.
- Formation energy (no corrections): -0.187 eV/atom
- Total magnetic moment: 4.78 μB/cell

```
data_LaCr2SCl
_cell_length_a 4.1963
_cell_length_b 4.1963
_cell_length_c 6.0089
_cell_angle_alpha 90.00
_cell_angle_beta 90.00
_cell_angle_gamma 90.00
_symmetry_space_group_name_H-M 'P 4/m m m'
_symmetry_Int_Tables_number 123
_symmetry_space_group_name_Hall '-P 4 2'
loop_
_atom_site_label
_atom_site_type_symbol
_atom_site_fract_x
_atom_site_fract_y
_atom_site_fract_z
La1 La 0.0000 0.0000 0.0000
Cr1 Cr 0.0000 0.5000 0.5000
S1 S 0.5000 0.5000 0.5000
Cl1 Cl 0.5000 0.5000 0.0000
```



No. 2
LaCrSiCl2 after structural relaxation, computed with PBEsol.

Output
- Calculated volume: 131 Å³/f.u.
- Formation energy (no corrections): -0.067 eV/atom
- Total magnetic moment: 2.59 μB/cell

```
data_LaCrSiCl2
_cell_length_a 4.5220
_cell_length_b 4.5220
_cell_length_c 6.3950
_cell_angle_alpha 90.00
_cell_angle_beta 90.00
_cell_angle_gamma 90.00
_symmetry_space_group_name_H-M 'P 4/m m m'
_symmetry_Int_Tables_number 123
_symmetry_space_group_name_Hall '-P 4 2'
loop_
_atom_site_label
_atom_site_type_symbol
_atom_site_fract_x
_atom_site_fract_y
_atom_site_fract_z
La1 La 0.0000 0.0000 0.0000
Cr1 Cr 0.0000 0.0000 0.5000
Si1 Si 0.5000 0.5000 0.0000
Cl1 Cl 0.0000 0.5000 0.5000
```



No. 3
La2YCrCl after structural relaxation, computed with PBEsol.

Output
- Calculated volume: 137 Å³/f.u.
- Formation energy (no corrections): -0.129 eV/atom
- Total magnetic moment: 2.89 μB/cell

```
data_La2YCrCl
_cell_length_a 5.5020
_cell_length_b 5.5020
_cell_length_c 4.5333
_cell_angle_alpha 90.00
_cell_angle_beta 90.00
_cell_angle_gamma 90.00
_symmetry_space_group_name_H-M 'P 4/m m m'
_symmetry_Int_Tables_number 123
_symmetry_space_group_name_Hall '-P 4 2'
loop_
_atom_site_label
_atom_site_type_symbol
_atom_site_fract_x
_atom_site_fract_y
_atom_site_fract_z
La1 La 0.0000 0.5000 0.0000
Y1 Y 0.0000 0.0000 0.5000
Cr1 Cr 0.5000 0.5000 0.5000
Cl1 Cl 0.5000 0.5000 0.0000
```



No. 4
LiCr2Cl after structural relaxation, computed with PBEsol.

Output
- Calculated volume: 57 Å³/f.u.
- Formation energy (no corrections): -0.107 eV/atom
- Total magnetic moment: 0.01 μB/cell

```
data_LiCr2Cl
_cell_length_a 3.0629
_cell_length_b 3.0986
_cell_length_c 12.0764
_cell_angle_alpha 90.00
_cell_angle_beta 90.00
_cell_angle_gamma 90.00
_symmetry_space_group_name_H-M 'A m m 2'
_symmetry_Int_Tables_number 38
_symmetry_space_group_name_Hall 'A 2 -2'
loop_
_atom_site_label
_atom_site_type_symbol
_atom_site_fract_x
_atom_site_fract_y
_atom_site_fract_z
Li1 Li 0.0000 0.0000 0.0000
Cr1 Cr 0.0000 0.0000 0.7626
Cr2 Cr 0.5000 0.0000 0.3516
Cl1 Cl 0.5000 0.0000 0.5669
```



No. 5
Li5CrCl8 after structural relaxation, computed with PBEsol.

Output
- Calculated volume: 257 Å³/f.u.
- Formation energy (no corrections): -1.620 eV/atom
- Total magnetic moment: 6.00 μB/cell

```
data_Li5CrCl8
_cell_length_a 7.1600
_cell_length_b 10.0493
_cell_length_c 7.1440
_cell_angle_alpha 90.00
_cell_angle_beta 90.00
_cell_angle_gamma 90.00
_symmetry_space_group_name_H-M 'C m m m'
_symmetry_Int_Tables_number 65
_symmetry_space_group_name_Hall '-C 2 2'
loop_
_atom_site_label
_atom_site_type_symbol
_atom_site_fract_x
_atom_site_fract_y
_atom_site_fract_z
Li1 Li 0.0000 0.0000 0.0000
Li2 Li 0.2500 0.2500 0.2344
Cr1 Cr 0.0000 0.0000 0.5000
Cl1 Cl 0.0000 0.2326 0.5000
Cl2 Cl 0.0000 0.2486 0.0000
Cl3 Cl 0.2304 0.0000 0.2696
```



No. 6
LiCrCl after structural relaxation, computed with PBEsol.

Output
- Calculated volume: 57 Å³/f.u.
- Formation energy (no corrections): 0.150 eV/atom
- Total magnetic moment: 4.98 μB/cell

```
data_LiCrCl
_cell_length_a 4.3863
_cell_length_b 4.3863
_cell_length_c 3.4140
_cell_angle_alpha 90.00
_cell_angle_beta 90.00
_cell_angle_gamma 120.00
_symmetry_space_group_name_H-M 'P -6 m 2'
_symmetry_Int_Tables_number 187
_symmetry_space_group_name_Hall 'P -6 2'
loop_
_atom_site_label
_atom_site_type_symbol
_atom_site_fract_x
_atom_site_fract_y
_atom_site_fract_z
Li1 Li 0.0000 0.0000 0.0000
Cr1 Cr 0.3333 0.6667 0.5000
Cl1 Cl 0.6667 0.3333 0.5000
```



No. 7
LiCr2Cl after structural relaxation, computed with PBEsol.

Output
- Calculated volume: 53 Å³/f.u.
- Formation energy (no corrections): 0.696 eV/atom
- Total magnetic moment: 0.00 μB/cell

```
data_LiCr2Cl
_cell_length_a 7.0957
_cell_length_b 7.0957
_cell_length_c 4.1815
_cell_angle_alpha 90.00
_cell_angle_beta 90.00
_cell_angle_gamma 90.00
_symmetry_space_group_name_H-M 'I -4 2 d'
_symmetry_Int_Tables_number 122
_symmetry_space_group_name_Hall 'I -4 2bw'
loop_
_atom_site_label
_atom_site_type_symbol
_atom_site_fract_x
_atom_site_fract_y
_atom_site_fract_z
Li1 Li 0.0000 0.0000 0.0000
Cr1 Cr 0.1709 0.7500 0.6250
Cl1 Cl 0.0000 0.0000 0.5000
```



No. 8
LiCrCl after structural relaxation, computed with PBEsol.

Output
- Calculated volume: 53 Å³/f.u.
- Formation energy (no corrections): -0.027 eV/atom
- Total magnetic moment: 9.41 μB/cell

```
data_LiCrCl
_cell_length_a 3.1024
_cell_length_b 3.1024
_cell_length_c 11.0023
_cell_angle_alpha 90.00
_cell_angle_beta 90.00
_cell_angle_gamma 90.00
_symmetry_space_group_name_H-M 'I 4 m m'
_symmetry_Int_Tables_number 107
_symmetry_space_group_name_Hall 'I 4 -2'
loop_
_atom_site_label
_atom_site_type_symbol
_atom_site_fract_x
_atom_site_fract_y
_atom_site_fract_z
Li1 Li 0.0000 0.0000 0.0000
Cr1 Cr 0.0000 0.0000 0.2933
Cl1 Cl 0.0000 0.0000 0.6234
```



No. 9
Mg2CrCl after structural relaxation, computed with PBEsol.

Output
- Calculated volume: 80 Å³/f.u.
- Formation energy (no corrections): 0.054 eV/atom
- Total magnetic moment: 8.70 μB/cell

```
data_Mg2CrCl
_cell_length_a 3.4029
_cell_length_b 5.3993
_cell_length_c 8.7050
_cell_angle_alpha 90.00
_cell_angle_beta 90.00
_cell_angle_gamma 90.00
_symmetry_space_group_name_H-M 'C m m 2'
_symmetry_Int_Tables_number 35
_symmetry_space_group_name_Hall 'C 2 -2'
loop_
_atom_site_label
_atom_site_type_symbol
_atom_site_fract_x
_atom_site_fract_y
_atom_site_fract_z
Mg1 Mg 0.0000 0.0000 0.0000
Mg2 Mg 0.0000 0.5000 0.2875
Cr1 Cr 0.0000 0.0000 0.5423
Cl1 Cl 0.0000 0.5000 0.7664
```



No. 10
Mg2CrCl after structural relaxation, computed with PBEsol.

Output
- Calculated volume: 79 Å³/f.u.
- Formation energy (no corrections): 0.074 eV/atom
- Total magnetic moment: 3.64 μB/cell

```
data_Mg2CrCl
_cell_length_a 3.1956
_cell_length_b 4.8912
_cell_length_c 5.0273
_cell_angle_alpha 90.00
_cell_angle_beta 90.09
_cell_angle_gamma 90.00
_symmetry_space_group_name_H-M 'P 1 m 1'
_symmetry_Int_Tables_number 6
_symmetry_space_group_name_Hall 'P -2y'
loop_
_atom_site_label
_atom_site_type_symbol
_atom_site_fract_x
_atom_site_fract_y
_atom_site_fract_z
Mg1 Mg 0.0000 0.0000 0.0000
Mg2 Mg 0.0012 0.5000 0.6191
Cr1 Cr 0.5005 0.0000 0.5078
Cl1 Cl 0.4997 0.5000 0.2253
```



No. 11
Mg2CrCl after structural relaxation, computed with PBEsol.

Output
- Calculated volume: 81 Å³/f.u.
- Formation energy (no corrections): 0.247 eV/atom
- Total magnetic moment: 9.24 μB/cell

```
data_Mg2CrCl
_cell_length_a 4.1177
_cell_length_b 4.1177
_cell_length_c 9.5055
_cell_angle_alpha 90.00
_cell_angle_beta 90.00
_cell_angle_gamma 90.00
_symmetry_space_group_name_H-M 'I 4/m m m'
_symmetry_Int_Tables_number 139
_symmetry_space_group_name_Hall '-I 4 2'
loop_
_atom_site_label
_atom_site_type_symbol
_atom_site_fract_x
_atom_site_fract_y
_atom_site_fract_z
Mg1 Mg 0.0000 0.5000 0.2500
Cr1 Cr 0.0000 0.0000 0.0000
Cl1 Cl 0.0000 0.0000 0.5000
```



No. 12
MgCr2Cl after structural relaxation, computed with PBEsol.

Output
- Calculated volume: 73 Å³/f.u.
- Formation energy (no corrections): 0.565 eV/atom
- Total magnetic moment: 8.70 μB/cell

```
data_MgCr2Cl
_cell_length_a 3.0834
_cell_length_b 3.0834
_cell_length_c 7.6590
_cell_angle_alpha 90.00
_cell_angle_beta 90.00
_cell_angle_gamma 90.00
_symmetry_space_group_name_H-M 'P 4/m m m'
_symmetry_Int_Tables_number 123
_symmetry_space_group_name_Hall '-P 4 2'
loop_
_atom_site_label
_atom_site_type_symbol
_atom_site_fract_x
_atom_site_fract_y
_atom_site_fract_z
Mg1 Mg 0.0000 0.0000 0.0000
Cr1 Cr 0.5000 0.5000 0.2673
Cl1 Cl 0.0000 0.0000 0.5000
```